[1]
The following is a PBE-GGA calculation of crystalline TaReSi2 at its relaxed geometry, from the Alexandria database.

Cell lengths 2.9246, 2.9246, 24.7729 Å; angles 90.00, 90.00, 120.00 degrees
Space group R3m (No. 160, hexagonal axes)
One atom of each set of equivalent atoms:
Ta 0.0000 0.0000 0.0000 [3 per cell]
Re 0.0000 0.0000 0.2411 [3 per cell]
Si 0.0000 0.0000 0.4995 [3 per cell]
Si 0.0000 0.0000 0.7506 [3 per cell]

Values from the calculation:
Raw formation energy = -9 meV per atom
Density of states at the Fermi level = 7.53 states/eV/cell
M_tot = 0.0 μB/cell
DFT total energy = -8.796 eV per atom


[2]
The following is a PBE-GGA calculation of crystalline Cr4Te9Pd2 at its relaxed geometry, from the Alexandria database.

Cell lengths 6.9830, 6.9838, 17.6296 Å; angles 90.00, 89.94, 60.08 degrees
Space group P-1 (No. 2)
One atom of each set of equivalent atoms:
Cr 0.1649 0.1672 0.4920 [2 per cell]
Cr 0.1659 0.1666 0.6750 [2 per cell]
Cr 0.1674 0.1663 0.9908 [2 per cell]
Cr 0.1680 0.1663 0.1762 [2 per cell]
Te 0.1452 0.5142 0.9168 [2 per cell]
Te 0.1489 0.8396 0.4162 [2 per cell]
Te 0.1586 0.4887 0.5834 [2 per cell]
Te 0.1595 0.8545 0.0833 [2 per cell]
Te 0.1767 0.5010 0.2498 [2 per cell]
Te 0.1765 0.8240 0.7504 [2 per cell]
Te 0.4860 0.1620 0.0830 [2 per cell]
Te 0.4873 0.8541 0.5825 [2 per cell]
Te 0.4988 0.1766 0.7495 [2 per cell]
Pd 0.4984 0.5028 0.6567 [2 per cell]
Pd 0.4998 0.4980 0.8434 [2 per cell]

Values from the calculation:
Raw formation energy = -210 meV per atom
Density of states at the Fermi level = 17.81 states/eV/cell
M_tot = 23.0 μB/cell
DFT total energy = -5.354 eV per atom


[3]
The following is a PBE-GGA calculation of crystalline SmTmP2 at its relaxed geometry, from the Alexandria database.

Cell lengths 3.9820, 3.9820, 20.5762 Å; angles 90.00, 90.00, 120.00 degrees
Space group R3m (No. 160, hexagonal axes)
One atom of each set of equivalent atoms:
Sm 0.0000 0.0000 0.0000 [3 per cell]
Tm 0.0000 0.0000 0.1714 [3 per cell]
P 0.0000 0.0000 0.5818 [3 per cell]
P 0.0000 0.0000 0.7567 [3 per cell]

Values from the calculation:
Energy of formation from the pure elements = -1429 meV per atom
Distance to the lowest polymorph of the same formula = 153 meV per atom
Density of states at the Fermi level = 0.98 states/eV/cell
M_tot = 0.0 μB/cell
DFT total energy = -6.432 eV per atom